No. 1
Tb3Ho8, optimized geometry, DFT PBE-GGA; space group = R-3m; energy above the lowest structure with this stoichiometry = 0.0 kJ/mol of atoms; DFT total energy = -50.301 eV/cell; density of states at the Fermi level = 14.675 states/eV/cell; ΔH_f (0 K) = 19.3 meV per atom; V = 30.94 Å³/atom
1.0
1.764 1.018 31.587
-1.764 1.018 31.587
0.000 -2.036 31.587
Tb Ho
3 8
direct
0.000 0.000 0.000
0.273 0.273 0.273
0.727 0.727 0.727
0.091 0.091 0.091
0.182 0.182 0.182
0.364 0.364 0.364
0.455 0.455 0.455
0.545 0.545 0.545
0.636 0.636 0.636
0.818 0.818 0.818
0.909 0.909 0.909


No. 2
KBa2Ta, optimized geometry, DFT PBE-GGA; space group = P2/m; energy above the lowest structure with this stoichiometry = 0.0 kJ/mol of atoms; DFT total energy = -13.506 eV/cell; density of states at the Fermi level = 5.122 states/eV/cell; ΔH_f (0 K) = 822.4 meV per atom; V = 42.25 Å³/atom
1.0
3.680 0.000 0.000
0.000 3.675 0.000
-0.011 0.000 12.493
K Ba Ta
1 2 1
direct
0.000 0.000 0.000
0.498 0.500 0.312
0.502 0.500 0.688
0.000 0.000 0.500


> Which value of DFT total energy does entry 2 give?

-13.506 eV/cell


> The highest DFT total energy belongs to which entry?

KBa2Ta